(1)
# MnAg PBE optimized geometry
# DOS(E_F)   1.8 states/eV/f.u.
# Formation energy   0.36 eV per atom
data_MnAg
_chemical_formula_sum 'Mn2 Ag2'
_space_group_name_H-M_alt 'P -3 m 1'
_space_group_IT_number 164
_space_group_name_Hall '-P 3 2"'
_cell_length_a 2.7308
_cell_length_b 2.7308
_cell_length_c 8.9208
_cell_angle_alpha 90.00
_cell_angle_beta 90.00
_cell_angle_gamma 120.00
loop_
_atom_site_label
_atom_site_type_symbol
_atom_site_fract_x
_atom_site_fract_y
_atom_site_fract_z
Mn1 Mn 0.3333 0.6667 0.4082
Ag1 Ag 0.3333 0.6667 0.8556

***

(2)
# TbPm5Pt2 PBE optimized geometry
# DOS(E_F)   9.2 states/eV/f.u.
# Formation energy   -0.52 eV per atom
data_TbPm5Pt2
_chemical_formula_sum 'Tb2 Pm10 Pt4'
_space_group_name_H-M_alt 'I m m m'
_space_group_IT_number 71
_space_group_name_Hall '-I 2 2'
_cell_length_a 4.008
_cell_length_b 7.608
_cell_length_c 16.251
_cell_angle_alpha 90.00
_cell_angle_beta 90.00
_cell_angle_gamma 90.00
loop_
_atom_site_label
_atom_site_type_symbol
_atom_site_fract_x
_atom_site_fract_y
_atom_site_fract_z
Tb1 Tb 0.000 0.000 0.000
Pm1 Pm 0.000 0.254 0.348
Pm2 Pm 0.000 0.500 0.000
Pt1 Pt 0.000 0.500 0.203

***

(3)
# TaIn2Ir PBE optimized geometry
# Excess energy over the best structure of this formula in the dataset   288 meV/atom
# DOS(E_F)   2.8 states/eV/f.u.
# Formation energy   0.16 eV per atom
data_TaIn2Ir
_chemical_formula_sum 'Ta2 In4 Ir2'
_space_group_name_H-M_alt 'C 1 2/m 1'
_space_group_IT_number 12
_space_group_name_Hall '-C 2y'
_cell_length_a 11.102
_cell_length_b 3.003
_cell_length_c 5.122
_cell_angle_alpha 90.00
_cell_angle_beta 117.28
_cell_angle_gamma 90.00
loop_
_atom_site_label
_atom_site_type_symbol
_atom_site_fract_x
_atom_site_fract_y
_atom_site_fract_z
Ta1 Ta 0.000 0.000 0.000
In1 In 0.235 0.000 0.735
Ir1 Ir 0.000 0.500 0.500

***

(4)
# Cs2ZnPtO4 PBE optimized geometry
# Uncorrected formation energy   -7.75 eV per formula unit
# DOS(E_F)   3.0 states/eV/f.u.
data_Cs2ZnPtO4
_chemical_formula_sum 'Cs16 Zn8 Pt8 O32'
_space_group_name_H-M_alt 'F d d d'
_space_group_IT_number 70
_cell_length_a 5.951
_cell_length_b 14.175
_cell_length_c 20.769
_cell_angle_alpha 90.00
_cell_angle_beta 90.00
_cell_angle_gamma 90.00
loop_
_space_group_symop_operation_xyz
'x,y,z'
'-x,-y,-z'
'-x+1/4,-y+1/4,z'
'x+1/4,y+1/4,-z'
'x,-y+1/4,-z+1/4'
'-x,y+1/4,z+1/4'
'-x+1/4,y,-z+1/4'
'x+1/4,-y,z+1/4'
'x,y+1/2,z+1/2'
'-x,-y+1/2,-z+1/2'
'-x+1/4,-y+3/4,z+1/2'
'x+1/4,y+3/4,-z+1/2'
'x,-y+3/4,-z+3/4'
'-x,y+3/4,z+3/4'
'-x+1/4,y+1/2,-z+3/4'
'x+1/4,-y+1/2,z+3/4'
'x+1/2,y,z+1/2'
'-x+1/2,-y,-z+1/2'
'-x+3/4,-y+1/4,z+1/2'
'x+3/4,y+1/4,-z+1/2'
'x+1/2,-y+1/4,-z+3/4'
'-x+1/2,y+1/4,z+3/4'
'-x+3/4,y,-z+3/4'
'x+3/4,-y,z+3/4'
'x+1/2,y+1/2,z'
'-x+1/2,-y+1/2,-z'
'-x+3/4,-y+3/4,z'
'x+3/4,y+3/4,-z'
'x+1/2,-y+3/4,-z+1/4'
'-x+1/2,y+3/4,z+1/4'
'-x+3/4,y+1/2,-z+1/4'
'x+3/4,-y+1/2,z+1/4'
loop_
_atom_site_label
_atom_site_type_symbol
_atom_site_fract_x
_atom_site_fract_y
_atom_site_fract_z
Cs1 Cs 0.125 0.125 0.297
Zn1 Zn 0.125 0.125 0.125
Pt1 Pt 0.125 0.125 0.625
O1 O 0.117 0.282 0.870

***

(5)
# Tm2Si2Tc2Ge PBE optimized geometry
# Uncorrected formation energy   -2.22 eV per formula unit
# DOS(E_F)   4.2 states/eV/f.u.
data_Tm2Si2Tc2Ge
_chemical_formula_sum 'Tm4 Si4 Tc4 Ge2'
_space_group_name_H-M_alt 'C 1 2/m 1'
_space_group_IT_number 12
_space_group_name_Hall '-C 2y'
_cell_length_a 9.958
_cell_length_b 4.132
_cell_length_c 7.636
_cell_angle_alpha 90.00
_cell_angle_beta 123.77
_cell_angle_gamma 90.00
loop_
_atom_site_label
_atom_site_type_symbol
_atom_site_fract_x
_atom_site_fract_y
_atom_site_fract_z
Tm1 Tm 0.223 0.000 0.302
Si1 Si 0.173 0.000 0.892
Tc1 Tc 0.037 0.500 0.868
Ge1 Ge 0.000 0.000 0.500

***

(6)
# HoP2Ir5 PBE optimized geometry
# DOS(E_F)   3.8 states/eV/f.u.
# Formation energy   -0.66 eV per atom
data_HoP2Ir5
_chemical_formula_sum 'Ho2 P4 Ir10'
_space_group_name_H-M_alt 'I m m m'
_space_group_IT_number 71
_space_group_name_Hall '-I 2 2'
_cell_length_a 3.919
_cell_length_b 6.852
_cell_length_c 9.368
_cell_angle_alpha 90.00
_cell_angle_beta 90.00
_cell_angle_gamma 90.00
loop_
_atom_site_label
_atom_site_type_symbol
_atom_site_fract_x
_atom_site_fract_y
_atom_site_fract_z
Ho1 Ho 0.000 0.000 0.000
P1 P 0.000 0.500 0.248
Ir1 Ir 0.000 0.206 0.354
Ir2 Ir 0.000 0.500 0.000

***

(7)
# SrSnF2 PBE optimized geometry
# Excess energy over the best structure of this formula in the dataset   0 meV/atom
# Uncorrected formation energy   -10.20 eV per formula unit
# DOS(E_F)   1.3 states/eV/f.u.
data_SrSnF2
_chemical_formula_sum 'Sr3 Sn3 F6'
_space_group_name_H-M_alt 'R -3 m'
_space_group_IT_number 166
_space_group_name_Hall '-R 3 2"'
_cell_length_a 3.7684
_cell_length_b 3.7684
_cell_length_c 24.7301
_cell_angle_alpha 90.00
_cell_angle_beta 90.00
_cell_angle_gamma 120.00
loop_
_atom_site_label
_atom_site_type_symbol
_atom_site_fract_x
_atom_site_fract_y
_atom_site_fract_z
Sr1 Sr 0.0000 0.0000 0.0000
Sn1 Sn 0.0000 0.0000 0.5000
F1 F 0.0000 0.0000 0.3755

***

(8)
# DyInNi2 PBE optimized geometry
# DOS(E_F)   1.6 states/eV/f.u.
# Formation energy   -0.39 eV per atom
data_DyInNi2
_chemical_formula_sum 'Dy2 In2 Ni4'
_space_group_name_H-M_alt 'A m m 2'
_space_group_IT_number 38
_space_group_name_Hall 'A 2 -2'
_cell_length_a 3.993
_cell_length_b 3.733
_cell_length_c 9.660
_cell_angle_alpha 90.00
_cell_angle_beta 90.00
_cell_angle_gamma 90.00
loop_
_atom_site_label
_atom_site_type_symbol
_atom_site_fract_x
_atom_site_fract_y
_atom_site_fract_z
Dy1 Dy 0.000 0.000 0.000
In1 In 0.500 0.000 0.291
Ni1 Ni 0.000 0.000 0.717
Ni2 Ni 0.500 0.000 0.575

***

(9)
# HgSeBr PBE optimized geometry
# Excess energy over the best structure of this formula in the dataset   18 meV/atom
# Uncorrected formation energy   -0.80 eV per formula unit
data_HgSeBr
_chemical_formula_sum 'Hg2 Se2 Br2'
_space_group_name_H-M_alt 'P -1'
_space_group_IT_number 2
_space_group_name_Hall '-P 1'
_cell_length_a 5.238
_cell_length_b 6.591
_cell_length_c 6.622
_cell_angle_alpha 68.18
_cell_angle_beta 79.94
_cell_angle_gamma 78.41
loop_
_atom_site_label
_atom_site_type_symbol
_atom_site_fract_x
_atom_site_fract_y
_atom_site_fract_z
Hg1 Hg 0.006 0.269 0.244
Se1 Se 0.395 0.408 0.919
Br1 Br 0.115 0.152 0.664

***

(10)
# TaTl3Cd2O6 PBE optimized geometry
# Uncorrected formation energy   -16.28 eV per formula unit
data_TaTl3Cd2O6
_chemical_formula_sum 'Ta2 Tl6 Cd4 O12'
_space_group_name_H-M_alt 'C 1 2/m 1'
_space_group_IT_number 12
_space_group_name_Hall '-C 2y'
_cell_length_a 5.868
_cell_length_b 10.361
_cell_length_c 6.661
_cell_angle_alpha 90.00
_cell_angle_beta 104.61
_cell_angle_gamma 90.00
loop_
_atom_site_label
_atom_site_type_symbol
_atom_site_fract_x
_atom_site_fract_y
_atom_site_fract_z
Ta1 Ta 0.000 0.000 0.000
Tl1 Tl 0.000 0.170 0.500
Tl2 Tl 0.000 0.500 0.500
Cd1 Cd 0.000 0.332 0.000
O1 O 0.207 0.141 0.164
O2 O 0.211 0.000 0.799

***

(11)
# AlZn2Se PBE optimized geometry
# Excess energy over the best structure of this formula in the dataset   128 meV/atom
# Uncorrected formation energy   -0.05 eV per formula unit
# DOS(E_F)   1.7 states/eV/f.u.
data_AlZn2Se
_chemical_formula_sum 'Al1 Zn2 Se1'
_space_group_name_H-M_alt 'P 4 m m'
_space_group_IT_number 99
_space_group_name_Hall 'P 4 -2'
_cell_length_a 3.612
_cell_length_b 3.612
_cell_length_c 6.001
_cell_angle_alpha 90.00
_cell_angle_beta 90.00
_cell_angle_gamma 90.00
loop_
_atom_site_label
_atom_site_type_symbol
_atom_site_fract_x
_atom_site_fract_y
_atom_site_fract_z
Al1 Al 0.000 0.000 0.000
Zn1 Zn 0.000 0.000 0.559
Zn2 Zn 0.500 0.500 0.632
Se1 Se 0.500 0.500 0.107

***

(12)
# B5C7 PBE optimized geometry
# Excess energy over the best structure of this formula in the dataset   155 meV/atom
# DOS(E_F)   2.2 states/eV/f.u.
# Formation energy   0.41 eV per atom
data_B5C7
_chemical_formula_sum 'B10 C14'
_space_group_name_H-M_alt 'C 1 m 1'
_space_group_IT_number 8
_space_group_name_Hall 'C -2y'
_cell_length_a 4.579
_cell_length_b 7.958
_cell_length_c 4.572
_cell_angle_alpha 90.00
_cell_angle_beta 107.62
_cell_angle_gamma 90.00
loop_
_atom_site_label
_atom_site_type_symbol
_atom_site_fract_x
_atom_site_fract_y
_atom_site_fract_z
B1 B 0.000 0.000 0.000
B2 B 0.016 0.143 0.546
B3 B 0.120 0.349 0.368
C1 C 0.002 0.500 0.527
C2 C 0.004 0.332 0.003
C3 C 0.121 0.500 0.884
C4 C 0.146 0.000 0.384
C5 C 0.148 0.179 0.895

***

(13)
# Ta2HgTe PBE optimized geometry
# Excess energy over the best structure of this formula in the dataset   253 meV/atom
# Uncorrected formation energy   1.75 eV per formula unit
# DOS(E_F)   3.2 states/eV/f.u.
data_Ta2HgTe
_chemical_formula_sum 'Ta4 Hg2 Te2'
_space_group_name_H-M_alt 'C 1 2/m 1'
_space_group_IT_number 12
_space_group_name_Hall '-C 2y'
_cell_length_a 9.529
_cell_length_b 3.379
_cell_length_c 5.129
_cell_angle_alpha 90.00
_cell_angle_beta 98.34
_cell_angle_gamma 90.00
loop_
_atom_site_label
_atom_site_type_symbol
_atom_site_fract_x
_atom_site_fract_y
_atom_site_fract_z
Ta1 Ta 0.246 0.000 0.243
Hg1 Hg 0.000 0.500 0.000
Te1 Te 0.000 0.000 0.500

***

(14)
# BiAs2IrBr PBE optimized geometry
# Excess energy over the best structure of this formula in the dataset   0 meV/atom
# Uncorrected formation energy   2.11 eV per formula unit
# DOS(E_F)   6.3 states/eV/f.u.
data_BiAs2IrBr
_chemical_formula_sum 'Bi1 As2 Ir1 Br1'
_space_group_name_H-M_alt 'P 4/m m m'
_space_group_IT_number 123
_space_group_name_Hall '-P 4 2'
_cell_length_a 4.837
_cell_length_b 4.837
_cell_length_c 5.258
_cell_angle_alpha 90.00
_cell_angle_beta 90.00
_cell_angle_gamma 90.00
loop_
_atom_site_label
_atom_site_type_symbol
_atom_site_fract_x
_atom_site_fract_y
_atom_site_fract_z
Bi1 Bi 0.000 0.000 0.000
As1 As 0.000 0.500 0.500
Ir1 Ir 0.500 0.500 0.500
Br1 Br 0.500 0.500 0.000

***

(15)
# LiTlHgH2 PBE optimized geometry
# Calculated total energy   -0.0710 Ha/atom
# DOS(E_F)   1.8 states/eV/f.u.
data_LiTlHgH2
_chemical_formula_sum 'Li1 Tl1 Hg1 H2'
_space_group_name_H-M_alt 'P 4/m m m'
_space_group_IT_number 123
_space_group_name_Hall '-P 4 2'
_cell_length_a 3.839
_cell_length_b 3.839
_cell_length_c 6.477
_cell_angle_alpha 90.00
_cell_angle_beta 90.00
_cell_angle_gamma 90.00
loop_
_atom_site_label
_atom_site_type_symbol
_atom_site_fract_x
_atom_site_fract_y
_atom_site_fract_z
Li1 Li 0.000 0.000 0.000
Tl1 Tl 0.500 0.500 0.000
Hg1 Hg 0.500 0.500 0.500
H1 H 0.000 0.500 0.500

***

(16)
# TiMnFe2H PBE optimized geometry
# Excess energy over the best structure of this formula in the dataset   30 meV/atom
# DOS(E_F)   4.0 states/eV/f.u.
data_TiMnFe2H
_chemical_formula_sum 'Ti1 Mn1 Fe2 H1'
_space_group_name_H-M_alt 'P 4/m m m'
_space_group_IT_number 123
_space_group_name_Hall '-P 4 2'
_cell_length_a 3.570
_cell_length_b 3.570
_cell_length_c 4.138
_cell_angle_alpha 90.00
_cell_angle_beta 90.00
_cell_angle_gamma 90.00
loop_
_atom_site_label
_atom_site_type_symbol
_atom_site_fract_x
_atom_site_fract_y
_atom_site_fract_z
Ti1 Ti 0.000 0.000 0.000
Mn1 Mn 0.500 0.500 0.000
Fe1 Fe 0.000 0.500 0.500
H1 H 0.000 0.000 0.500

***

(17)
# LiPrSmZn PBE optimized geometry
# Excess energy over the best structure of this formula in the dataset   13 meV/atom
# DOS(E_F)   6.2 states/eV/f.u.
# Formation energy   -0.11 eV per atom
data_LiPrSmZn
_chemical_formula_sum 'Li4 Pr4 Sm4 Zn4'
_space_group_name_H-M_alt 'F -4 3 m'
_space_group_IT_number 216
_space_group_name_Hall 'F -4 2 3'
_cell_length_a 7.441
_cell_length_b 7.441
_cell_length_c 7.441
_cell_angle_alpha 90.00
_cell_angle_beta 90.00
_cell_angle_gamma 90.00
loop_
_atom_site_label
_atom_site_type_symbol
_atom_site_fract_x
_atom_site_fract_y
_atom_site_fract_z
Li1 Li 0.000 0.000 0.000
Pr1 Pr 0.250 0.250 0.250
Sm1 Sm 0.250 0.250 0.750
Zn1 Zn 0.000 0.000 0.500

***

(18)
# MnWAu2 PBE optimized geometry
# Excess energy over the best structure of this formula in the dataset   87 meV/atom
# DOS(E_F)   3.0 states/eV/f.u.
# Formation energy   0.28 eV per atom
data_MnWAu2
_chemical_formula_sum 'Mn1 W1 Au2'
_space_group_name_H-M_alt 'P 4/m m m'
_space_group_IT_number 123
_space_group_name_Hall '-P 4 2'
_cell_length_a 2.868
_cell_length_b 2.868
_cell_length_c 8.024
_cell_angle_alpha 90.00
_cell_angle_beta 90.00
_cell_angle_gamma 90.00
loop_
_atom_site_label
_atom_site_type_symbol
_atom_site_fract_x
_atom_site_fract_y
_atom_site_fract_z
Mn1 Mn 0.000 0.000 0.000
W1 W 0.000 0.000 0.500
Au1 Au 0.500 0.500 0.244

***

(19)
# Tl5Si4 PBE optimized geometry
# Excess energy over the best structure of this formula in the dataset   238 meV/atom
# Uncorrected formation energy   5.18 eV per formula unit
# DOS(E_F)   4.3 states/eV/f.u.
data_Tl5Si4
_chemical_formula_sum 'Tl10 Si8'
_space_group_name_H-M_alt 'P 63/m c m'
_space_group_IT_number 193
_space_group_name_Hall '-P 6c 2'
_cell_length_a 9.0098
_cell_length_b 9.0098
_cell_length_c 6.4249
_cell_angle_alpha 90.00
_cell_angle_beta 90.00
_cell_angle_gamma 120.00
loop_
_atom_site_label
_atom_site_type_symbol
_atom_site_fract_x
_atom_site_fract_y
_atom_site_fract_z
Tl1 Tl 0.0000 0.2605 0.2500
Tl2 Tl 0.3333 0.6667 0.0000
Si1 Si 0.0000 0.0000 0.0000
Si2 Si 0.0000 0.4368 0.7500

***

(20)
# Nd4Ho PBE optimized geometry
# Excess energy over the best structure of this formula in the dataset   0 meV/atom
# DOS(E_F)   6.3 states/eV/f.u.
# Formation energy   0.01 eV per atom
data_Nd4Ho
_chemical_formula_sum 'Nd12 Ho3'
_space_group_name_H-M_alt 'R -3 m'
_space_group_IT_number 166
_space_group_name_Hall '-R 3 2"'
_cell_length_a 3.6503
_cell_length_b 3.6503
_cell_length_c 44.6223
_cell_angle_alpha 90.00
_cell_angle_beta 90.00
_cell_angle_gamma 120.00
loop_
_atom_site_label
_atom_site_type_symbol
_atom_site_fract_x
_atom_site_fract_y
_atom_site_fract_z
Nd1 Nd 0.0000 0.0000 0.1015
Nd2 Nd 0.0000 0.0000 0.2996
Ho1 Ho 0.0000 0.0000 0.5000